Record 1
# CsHgSbTe3 PBE-GGA relaxed
data_CsHgSbTe3
_chemical_formula_sum 'Cs2 Hg2 Sb2 Te6'
_space_group_name_H-M_alt 'P 1'
_space_group_IT_number 1
_cell_length_a 8.757
_cell_length_b 8.757
_cell_length_c 11.831
_cell_angle_alpha 90.00
_cell_angle_beta 90.00
_cell_angle_gamma 149.51
loop_
_space_group_symop_operation_xyz
'x,y,z'
loop_
_atom_site_label
_atom_site_fract_x
_atom_site_fract_y
_atom_site_fract_z
_atom_site_occupancy
Te1 0.377 0.623 0.464 1
Sb1 0.000 0.000 0.000 1
Cs1 0.750 0.250 0.250 1
Te2 0.377 0.623 0.036 1
Te3 0.623 0.377 0.536 1
Te4 0.060 0.940 0.250 1
Te5 0.623 0.377 0.964 1
Hg1 0.548 0.452 0.750 1
Cs2 0.250 0.750 0.750 1
Te6 0.940 0.060 0.750 1
Sb2 0.000 0.000 0.500 1
Hg2 0.452 0.548 0.250 1
# crystal system = orthorhombic

Record 2
# LaSi2IrPd PBE-GGA relaxed
data_LaSi2IrPd
_chemical_formula_sum 'La1 Si2 Ir1 Pd1'
_space_group_name_H-M_alt 'P 1'
_space_group_IT_number 1
_cell_length_a 5.915
_cell_length_b 5.915
_cell_length_c 5.915
_cell_angle_alpha 138.57
_cell_angle_beta 138.57
_cell_angle_gamma 60.04
loop_
_space_group_symop_operation_xyz
'x,y,z'
loop_
_atom_site_label
_atom_site_fract_x
_atom_site_fract_y
_atom_site_fract_z
_atom_site_occupancy
La1 0.250 0.750 0.500 1
Si1 0.872 0.372 0.500 1
Pd1 0.500 0.500 0.000 1
Si2 0.628 0.128 0.500 1
Ir1 0.000 0.000 0.000 1
# crystal system = tetragonal

Record 3
# HfCuGe PBE-GGA relaxed
data_HfCuGe
_chemical_formula_sum 'Hf1 Cu1 Ge1'
_space_group_name_H-M_alt 'P 1'
_space_group_IT_number 1
_cell_length_a 4.191
_cell_length_b 4.191
_cell_length_c 4.191
_cell_angle_alpha 60.00
_cell_angle_beta 60.00
_cell_angle_gamma 60.00
loop_
_space_group_symop_operation_xyz
'x,y,z'
loop_
_atom_site_label
_atom_site_fract_x
_atom_site_fract_y
_atom_site_fract_z
_atom_site_occupancy
Ge1 0.250 0.250 0.250 1
Hf1 0.750 0.750 0.750 1
Cu1 0.000 0.000 0.000 1
# crystal system = cubic

Calculated E_tot, -2.87, -6.89, -6.33 eV/atom (same order as the records).